Density functional theory data (GGA-PBE) for a geometry-optimized Ti3TeMo structure.

Results
E_form (uncorrected) ... 1.20 eV per atom
Polymorph energy (0 for the lowest one) ... 3.13 eV per formula unit
Fermi-level density of states ... 6.700 states/eV/f.u.

abc: 4.860 4.860 4.860
angles: 90.00 90.00 90.00
Positions (direct):
Mo1 0.500 0.500 0.500
Te1 0.000 0.000 0.000
Ti1 0.000 0.000 0.500
Ti2 0.000 0.500 0.000
Ti3 0.500 0.000 0.000